# 1
# Ta3Te6P

Ta3Te6P at its PBEsol-relaxed geometry (SCAN, Alexandria).

Summary:
- E_tot (eV per atom) = -43.72
- theoretical density (g/cm3) = 8.95

Cell lengths 6.234, 14.197, 11.232 Å; angles 90.00, 90.00, 90.00 degrees
Space group Pnma (No. 62)
Asymmetric unit:
Ta (0.032, 0.250, 0.189)
Ta (0.172, 0.750, 0.331)
Ta (0.195, 0.750, 0.032)
Te (0.147, 0.120, 0.996)
Te (0.149, 0.113, 0.681)
Te (0.204, 0.115, 0.343)
P (0.076, 0.750, 0.573)

---

# 2
# Ta3TlP

Ta3TlP at its PBEsol-relaxed geometry (SCAN, Alexandria).

Summary:
- ΔH_f (0 K) (eV per atom) = 0.550
- E_tot (eV per atom) = -55.95
- theoretical density (g/cm3) = 13.30

Cell lengths 4.597, 4.597, 4.597 Å; angles 90.00, 90.00, 90.00 degrees
Space group Pm-3m (No. 221)
Asymmetric unit:
Ta (0.000, 0.000, 0.500)
Tl (0.500, 0.500, 0.500)
P (0.000, 0.000, 0.000)